No. 1
The following is a DFT calculation (PBE) of a relaxed structure of TaNb2Mo4W2.

Unit cell a=3.216 b=7.026 c=7.160 alpha=108.05 beta=90.00 gamma=103.23
Fractional positions:
Ta 0.000 0.000 0.000
W 0.110 0.219 0.661
Nb 0.668 0.335 0.001
Nb 0.332 0.665 0.999
Mo 0.444 0.887 0.661
Mo 0.777 0.554 0.660
W 0.890 0.781 0.339
Mo 0.556 0.113 0.339
Mo 0.223 0.446 0.340

Computed properties:
Total energy, eV/atom: -11.332

=====

No. 2
The following is a DFT calculation (PBE) of a relaxed structure of Ta2NbMoW.

Unit cell a=2.688 b=7.252 c=9.946 alpha=112.89 beta=90.00 gamma=90.00
Fractional positions:
Ta 0.750 0.650 0.953
Mo 0.250 0.752 0.251
Nb 0.750 0.051 0.154
Ta 0.750 0.562 0.645
W 0.750 0.146 0.455
Mo 0.750 0.248 0.749
W 0.250 0.854 0.545
Ta 0.250 0.438 0.355
Ta 0.250 0.350 0.047
Nb 0.250 0.949 0.846

Computed properties:
Excess energy over the best structure of this formula in the dataset, kJ/mol of formula units: 0
Total energy, eV/atom: -11.169

=====

No. 3
The following is a DFT calculation (PBE) of a relaxed structure of TaNbMoW.

Unit cell a=4.581 b=4.581 c=4.581 alpha=60.00 beta=60.00 gamma=60.00
Fractional positions:
Mo 0.500 0.500 0.500
Nb 0.250 0.250 0.250
W 0.000 0.000 0.000
Ta 0.750 0.750 0.750

Computed properties:
Total energy, eV/atom: -11.554

=====

No. 4
The following is a DFT calculation (PBE) of a relaxed structure of Ta2NbMo4W2.

Unit cell a=3.209 b=7.038 c=7.168 alpha=108.04 beta=90.00 gamma=103.18
Fractional positions:
W 0.329 0.659 0.996
Mo 0.780 0.560 0.667
Nb 0.000 0.000 0.000
Ta 0.890 0.779 0.336
W 0.671 0.341 0.004
Mo 0.558 0.116 0.332
Ta 0.110 0.221 0.664
Mo 0.220 0.440 0.333
Mo 0.442 0.884 0.668

Computed properties:
Total energy, eV/atom: -11.586

=====

Repeat the second record exactly.
The following is a DFT calculation (PBE) of a relaxed structure of Ta2NbMoW.

Unit cell a=2.688 b=7.252 c=9.946 alpha=112.89 beta=90.00 gamma=90.00
Fractional positions:
Ta 0.750 0.650 0.953
Mo 0.250 0.752 0.251
Nb 0.750 0.051 0.154
Ta 0.750 0.562 0.645
W 0.750 0.146 0.455
Mo 0.750 0.248 0.749
W 0.250 0.854 0.545
Ta 0.250 0.438 0.355
Ta 0.250 0.350 0.047
Nb 0.250 0.949 0.846

Computed properties:
Excess energy over the best structure of this formula in the dataset, kJ/mol of formula units: 0
Total energy, eV/atom: -11.169